No. 1
The following is a PBE-GGA calculation of a relaxed structure of MgSb2IBr, from Alexandria.

```
MgSb2IBr
1.0
-1.2005 -2.4475 4.8136
5.0465 1.2467 1.8925
-1.9093 4.7698 1.9490
I Sb Mg Br
1 2 1 1
Direct
0.0000 0.0000 0.5000
0.0000 0.5000 0.0000
0.5000 0.0000 0.0000
0.0000 0.0000 0.0000
0.5000 0.5000 0.5000
```

Values from the calculation:
**SG**: P4/mmm (123)
**Calculated total energy**: -2.35 eV per atom
**DOS at the Fermi energy**: 3.566 states/eV/f.u.
**Polymorph energy (0 for the lowest one)**: 0 meV/atom
**Total magnetization**: 0.00 μB per atom
**ΔE_f (raw)**: 1.31 eV per formula unit

No. 2
The following is a PBE-GGA calculation of a relaxed structure of Y3HgC, from Alexandria.

```
Y3HgC
1.0
-8.8846 6.9689 -5.4739
0.6928 -1.2675 -7.5434
-0.5176 -6.9573 -3.2119
Y C Hg
12 4 4
Direct
0.7243 0.4030 0.3368
0.7757 0.8368 0.9030
0.2757 0.5970 0.6632
0.2243 0.1632 0.0970
0.7243 0.1484 0.1118
0.7757 0.6118 0.6484
0.2757 0.8516 0.8882
0.2243 0.3882 0.3516
0.0000 0.2214 0.2631
0.5000 0.7631 0.7214
0.0000 0.7786 0.7369
0.5000 0.2369 0.2786
0.7500 0.0045 0.5045
0.2500 0.9955 0.4955
0.7500 0.4954 0.9954
0.2500 0.5046 0.0046
0.5000 0.1647 0.7630
0.0000 0.2630 0.6647
0.5000 0.8353 0.2370
0.0000 0.7370 0.3353
```

Values from the calculation:
**SG**: Cccm (66)
**Calculated total energy**: -6.04 eV per atom
**DOS at the Fermi energy**: 5.238 states/eV/f.u.
**Polymorph energy (0 for the lowest one)**: 173 meV/atom
**Total magnetization**: 0.00 μB per atom
**Energy relative to the elements**: -0.255 eV/atom

No. 3
The following is a PBE-GGA calculation of a relaxed structure of NaBiSb3, from Alexandria.

```
NaBiSb3
1.0
-5.0713 2.1037 -2.2060
0.9667 -2.9511 -5.0366
-2.8910 -4.6772 2.1856
Sb Bi Na
3 1 1
Direct
0.0000 0.5000 0.0000
0.0000 0.0000 0.5000
0.5000 0.0000 0.0000
0.0000 0.0000 0.0000
0.5000 0.5000 0.5000
```

Values from the calculation:
**SG**: Pm-3m (221)
**Calculated total energy**: -2.91 eV per atom
**DOS at the Fermi energy**: 7.768 states/eV/f.u.
**Polymorph energy (0 for the lowest one)**: 0 meV/atom
**Total magnetization**: 0.00 μB per atom
**ΔE_f (raw)**: 3.00 eV per formula unit

No. 4
The following is a PBE-GGA calculation of a relaxed structure of Ti2BrN, from Alexandria.

```
Ti2BrN
1.0
-0.9393 -0.2685 4.0872
-0.4583 3.4970 2.2848
-3.8102 1.1374 1.3594
N Br Ti
1 1 2
Direct
0.0000 0.0000 0.0000
0.5000 0.5000 0.5000
0.2500 0.2500 0.2500
0.7500 0.7500 0.7500
```

Values from the calculation:
**SG**: Fm-3m (225)
**Calculated total energy**: -6.49 eV per atom
**DOS at the Fermi energy**: 0.003 states/eV/f.u.
**Polymorph energy (0 for the lowest one)**: 641 meV/atom
**Total magnetization**: 0.00 μB per atom
**ΔE_f (raw)**: -0.16 eV per formula unit

No. 5
The following is a PBE-GGA calculation of a relaxed structure of MoAuBr2, from Alexandria.

```
MoAuBr2
1.0
-0.9139 -0.3339 4.8601
-4.6748 -0.0201 1.6470
-1.9490 -4.1534 1.8756
Mo Au Br
1 1 2
Direct
0.0000 0.0000 0.0000
0.5000 0.5000 0.5000
0.2500 0.2500 0.2500
0.7500 0.7500 0.7500
```

Values from the calculation:
**SG**: Fm-3m (225)
**Calculated total energy**: -3.57 eV per atom
**DOS at the Fermi energy**: 3.796 states/eV/f.u.
**Polymorph energy (0 for the lowest one)**: 710 meV/atom
**Total magnetization**: 0.77 μB per atom
**ΔE_f (raw)**: 3.17 eV per formula unit

No. 6
The following is a PBE-GGA calculation of a relaxed structure of CaMoN3, from Alexandria.

```
CaMoN3
1.0
-5.9661 2.6513 2.6025
-0.2046 -0.4740 3.5287
2.0519 6.0626 -0.7226
Ca Mo N
2 2 6
Direct
0.4608 0.7625 0.0107
0.8539 0.9111 0.3238
0.2529 0.2059 0.5386
0.0143 0.1297 0.9151
0.7242 0.0983 0.9681
0.5053 0.9475 0.3868
0.0915 0.1601 0.1875
0.2854 0.2998 0.8317
0.8676 0.7138 0.9129
0.1089 0.8268 0.5625
```

Values from the calculation:
**SG**: P1 (1)
**Calculated total energy**: -8.04 eV per atom
**DOS at the Fermi energy**: 0.000 states/eV/f.u.
**Total magnetization**: 0.00 μB per atom
**ΔE_f (raw)**: -2.37 eV per formula unit

No. 7
The following is a PBE-GGA calculation of a relaxed structure of Ba2AgPIr, from Alexandria.

```
Ba2AgPIr
1.0
6.2044 0.0000 0.0000
0.0000 6.2044 0.0000
0.0000 0.0000 4.4376
P Ir Ba Ag
1 1 2 1
Direct
0.0000 0.0000 0.5000
0.0000 0.0000 0.0000
0.0000 0.5000 0.0000
0.5000 0.0000 0.0000
0.5000 0.5000 0.5000
```

Values from the calculation:
**SG**: P4/mmm (123)
**Calculated total energy**: -4.62 eV per atom
**DOS at the Fermi energy**: 2.937 states/eV/f.u.
**Polymorph energy (0 for the lowest one)**: 0 meV/atom
**Total magnetization**: 0.00 μB per atom
**Energy relative to the elements**: -0.423 eV/atom

No. 8
The following is a PBE-GGA calculation of a relaxed structure of Nd3Sb4Pd7, from Alexandria.

```
Nd3Sb4Pd7
1.0
-2.6241 -3.4719 -1.0033
3.1393 -6.5741 4.5984
-4.9080 -1.1802 6.9799
Nd Sb Pd
3 4 7
Direct
0.3250 0.1852 0.1647
0.6750 0.8148 0.8353
0.0000 0.5000 0.5000
0.6666 0.4515 0.2154
0.3334 0.5485 0.7846
0.8860 0.8922 0.3359
0.1140 0.1078 0.6641
0.3110 0.8398 0.5381
0.4964 0.2155 0.7918
0.8600 0.3722 0.9078
0.6890 0.1602 0.4619
0.1400 0.6278 0.0922
0.0000 0.0000 0.0000
0.5036 0.7845 0.2082
```

Values from the calculation:
**SG**: C2/m (12)
**Calculated total energy**: -5.66 eV per atom
**DOS at the Fermi energy**: 7.641 states/eV/f.u.
**Total magnetization**: 0.00 μB per atom
**ΔE_f (raw)**: -12.11 eV per formula unit

No. 9
The following is a PBE-GGA calculation of a relaxed structure of TiAsPb2, from Alexandria.

```
TiAsPb2
1.0
-2.8855 1.3768 -5.7320
1.5033 -5.9990 -2.1977
-6.1876 -4.5087 -1.7258
Pb As Ti
4 2 2
Direct
0.6239 0.1250 0.2500
0.1261 0.6250 0.2500
0.3750 0.3761 0.7500
0.8750 0.8739 0.7500
0.0000 0.0000 0.0000
0.7500 0.2500 0.5000
0.5000 0.5000 0.0000
0.2500 0.7500 0.5000
```

Values from the calculation:
**SG**: I-42d (122)
**Calculated total energy**: -4.37 eV per atom
**DOS at the Fermi energy**: 6.557 states/eV/f.u.
**Total magnetization**: 0.00 μB per atom
**Energy relative to the elements**: 0.617 eV/atom

No. 10
The following is a PBE-GGA calculation of a relaxed structure of Mg2CuSe, from Alexandria.

```
Mg2CuSe
1.0
-2.8851 1.8255 -1.5002
-3.2762 -1.5709 4.3889
1.9448 6.0445 3.6152
Mg Cu Se
4 2 2
Direct
0.5000 0.7091 0.2874
0.5000 0.7091 0.7126
0.0000 0.2909 0.2126
0.0000 0.2909 0.7874
0.5000 0.3285 0.5000
0.0000 0.6715 0.0000
0.5000 0.0190 0.0000
0.0000 0.9810 0.5000
```

Values from the calculation:
**SG**: Pmmn (59)
**Calculated total energy**: -3.08 eV per atom
**DOS at the Fermi energy**: 0.666 states/eV/f.u.
**Total magnetization**: 0.00 μB per atom
**ΔE_f (raw)**: -1.55 eV per formula unit

No. 11
The following is a PBE-GGA calculation of a relaxed structure of Ba3Li2Zn9, from Alexandria.

```
Ba3Li2Zn9
1.0
-3.8380 -0.0437 -2.8383
-6.8592 -2.0774 5.2929
-4.9986 6.8869 2.6388
Ba Li Zn
3 2 9
Direct
0.0000 0.0000 0.0000
0.7137 0.2863 0.2863
0.2863 0.7137 0.7137
0.5000 0.3200 0.6800
0.5000 0.6800 0.3200
0.0000 0.5000 0.5000
0.6600 0.9964 0.6835
0.3400 0.0036 0.3165
0.6600 0.6835 0.9964
0.3400 0.3165 0.0036
0.8741 0.8309 0.4210
0.1259 0.1691 0.5790
0.8741 0.4210 0.8309
0.1259 0.5790 0.1691
```

Values from the calculation:
**SG**: Immm (71)
**Calculated total energy**: -1.66 eV per atom
**DOS at the Fermi energy**: 8.478 states/eV/f.u.
**Total magnetization**: 0.00 μB per atom
**Energy relative to the elements**: -0.160 eV/atom

No. 12
The following is a PBE-GGA calculation of a relaxed structure of Y3Zn4, from Alexandria.

```
Y3Zn4
1.0
-1.6815 1.6815 13.6103
1.6815 -1.6815 13.6103
1.6815 1.6815 -13.6103
Y Zn
3 4
Direct
0.0000 0.0000 0.0000
0.6990 0.6990 0.0000
0.3010 0.3010 0.0000
0.8750 0.8750 0.0000
0.5742 0.5742 0.0000
0.4258 0.4258 0.0000
0.1250 0.1250 0.0000
```

Values from the calculation:
**SG**: I4/mmm (139)
**Calculated total energy**: -3.67 eV per atom
**DOS at the Fermi energy**: 7.034 states/eV/f.u.
**Polymorph energy (0 for the lowest one)**: 77 meV/atom
**Total magnetization**: 0.03 μB per atom
**Energy relative to the elements**: -0.170 eV/atom

> total magnetization of number 5 (MoAuBr2)?

0.77 μB per atom

Repeat the seventh record exactly.
The following is a PBE-GGA calculation of a relaxed structure of Ba2AgPIr, from Alexandria.

```
Ba2AgPIr
1.0
6.2044 0.0000 0.0000
0.0000 6.2044 0.0000
0.0000 0.0000 4.4376
P Ir Ba Ag
1 1 2 1
Direct
0.0000 0.0000 0.5000
0.0000 0.0000 0.0000
0.0000 0.5000 0.0000
0.5000 0.0000 0.0000
0.5000 0.5000 0.5000
```

Values from the calculation:
**SG**: P4/mmm (123)
**Calculated total energy**: -4.62 eV per atom
**DOS at the Fermi energy**: 2.937 states/eV/f.u.
**Polymorph energy (0 for the lowest one)**: 0 meV/atom
**Total magnetization**: 0.00 μB per atom
**Energy relative to the elements**: -0.423 eV/atom